# Nd3HgOs

An optimized crystal structure of Nd3HgOs (PBE, Alexandria via LeMat-Bulk).

Cell: 5.5406 5.5406 5.5406 Å, 90.00 90.00 90.00°
Closest atoms and distances in Å follow each position.
Space group Pm-3m (No. 221)
Inequivalent atoms, fractional coordinates:
Nd1 0.0000 0.0000 0.5000 [3 per cell]  2 Os 2.77
Hg1 0.5000 0.5000 0.5000 [1 per cell]  12 Nd 3.92
Os1 0.0000 0.0000 0.0000 [1 per cell]  6 Nd 2.77

Output
Its density of states at the Fermi level is 0.941 states/eV/atom. Its formation energy from the elements is 16 meV per atom. The total energy comes out at -5.151 eV per atom.